(1)
# Cs2RbTl2Pt (PBE, optimized geometry)
# Final energy, eV per atom: -2.3602
# Calculated density, kg/m3: 5281
# V, Å³ per atom: 50.055
# Formation energy from the elements, meV per atom: -119
# N(E_F), states/eV/atom: 0.589
data_Cs2RbTl2Pt
_chemical_formula_sum 'Cs8 Rb4 Tl8 Pt4'
_cell_length_a 10.0840
_cell_length_b 15.2161
_cell_length_c 7.8293
_cell_angle_alpha 90.00
_cell_angle_beta 90.00
_cell_angle_gamma 90.00
_space_group_name_H-M_alt 'I b a m'
_space_group_IT_number 72
_space_group_name_Hall '-I 2 2c'
loop_
_atom_site_label
_atom_site_type_symbol
_atom_site_fract_x
_atom_site_fract_y
_atom_site_fract_z
Cs1 Cs 0.1566 0.1855 0.0000
Rb1 Rb 0.0000 0.5000 0.2500
Tl1 Tl 0.1728 0.0652 0.5000
Pt1 Pt 0.0000 0.0000 0.2500


(2)
# LaPmSc (PBE, optimized geometry)
# Final energy, eV per atom: -5.2674
# Calculated density, kg/m3: 5725
# V, Å³ per atom: 31.795
# Formation energy from the elements, meV per atom: 69
# N(E_F), states/eV/atom: 1.598
# Energy relative to the lowest polymorph listed for this composition, meV/atom: 3
data_LaPmSc
_chemical_formula_sum 'La2 Pm2 Sc2'
_cell_length_a 3.6142
_cell_length_b 5.6830
_cell_length_c 9.4602
_cell_angle_alpha 90.00
_cell_angle_beta 100.95
_cell_angle_gamma 90.00
_space_group_name_H-M_alt 'P 1 21/m 1'
_space_group_IT_number 11
_space_group_name_Hall '-P 2yb'
loop_
_atom_site_label
_atom_site_type_symbol
_atom_site_fract_x
_atom_site_fract_y
_atom_site_fract_z
La1 La 0.0652 0.2500 0.1269
Pm1 Pm 0.3799 0.2500 0.7603
Sc1 Sc 0.2738 0.7500 0.5486


(3)
# LaPaBiO2 (PBE, optimized geometry)
# Final energy, eV per atom: -8.1603
# Calculated density, kg/m3: 9586
# V, Å³ per atom: 21.164
# N(E_F), states/eV/atom: 0.527
# Energy relative to the elements, uncorrected, eV/atom: -2.5162
data_LaPaBiO2
_chemical_formula_sum 'La2 Pa2 Bi2 O4'
_cell_length_a 4.0177
_cell_length_b 4.0177
_cell_length_c 13.1116
_cell_angle_alpha 90.00
_cell_angle_beta 90.00
_cell_angle_gamma 90.00
_space_group_name_H-M_alt 'I 4 m m'
_space_group_IT_number 107
_space_group_name_Hall 'I 4 -2'
loop_
_atom_site_label
_atom_site_type_symbol
_atom_site_fract_x
_atom_site_fract_y
_atom_site_fract_z
La1 La 0.0000 0.0000 0.0000
Pa1 Pa 0.0000 0.0000 0.3052
Bi1 Bi 0.0000 0.0000 0.6558
O1 O 0.0000 0.5000 0.3902


- Among the records above, which one has the lowest V?
  LaPaBiO2


Copy entry 3 word for word.
# LaPaBiO2 (PBE, optimized geometry)
# Final energy, eV per atom: -8.1603
# Calculated density, kg/m3: 9586
# V, Å³ per atom: 21.164
# N(E_F), states/eV/atom: 0.527
# Energy relative to the elements, uncorrected, eV/atom: -2.5162
data_LaPaBiO2
_chemical_formula_sum 'La2 Pa2 Bi2 O4'
_cell_length_a 4.0177
_cell_length_b 4.0177
_cell_length_c 13.1116
_cell_angle_alpha 90.00
_cell_angle_beta 90.00
_cell_angle_gamma 90.00
_space_group_name_H-M_alt 'I 4 m m'
_space_group_IT_number 107
_space_group_name_Hall 'I 4 -2'
loop_
_atom_site_label
_atom_site_type_symbol
_atom_site_fract_x
_atom_site_fract_y
_atom_site_fract_z
La1 La 0.0000 0.0000 0.0000
Pa1 Pa 0.0000 0.0000 0.3052
Bi1 Bi 0.0000 0.0000 0.6558
O1 O 0.0000 0.5000 0.3902


- Which formula does entry 3 have?
  LaPaBiO2